Entry 1:
! LaTbNO GGA-PBE optimized geometry; values from VASP
! Volume in Å³ per cell: 173
! Calculated total energy in eV per cell: -60.03
! Total magnetization in μB per cell: 0.025
&SYSTEM
  ibrav = 0, nat = 8, ntyp = 4
/
ATOMIC_SPECIES
Tb 158.93 Tb.upf
O 16.00 O.upf
La 138.91 La.upf
N 14.01 N.upf
ATOMIC_POSITIONS crystal
Tb 0.750 0.750 0.500
O 0.750 0.750 0.000
Tb 0.250 0.250 0.500
La 0.250 0.750 0.108
N 0.250 0.750 0.566
N 0.750 0.250 0.434
La 0.750 0.250 0.892
O 0.250 0.250 0.000
CELL_PARAMETERS angstrom
3.176 -3.178 0.000
3.176 3.178 0.000
0.000 0.000 8.557



Entry 2:
! LaTbNO GGA-PBE optimized geometry; values from VASP
! Volume in Å³ per cell: 148
! Calculated total energy in eV per cell: -62.88
! Total magnetization in μB per cell: 0.972
&SYSTEM
  ibrav = 0, nat = 8, ntyp = 4
/
ATOMIC_SPECIES
La 138.91 La.upf
N 14.01 N.upf
O 16.00 O.upf
Tb 158.93 Tb.upf
ATOMIC_POSITIONS crystal
La 0.500 0.439 0.836
N 0.000 0.938 0.345
O 0.500 0.439 0.198
N 0.000 0.438 0.655
La 0.500 0.939 0.164
Tb 0.000 0.939 0.662
O 0.500 0.939 0.802
Tb 0.000 0.439 0.338
CELL_PARAMETERS angstrom
0.799 3.552 -1.858
-4.942 0.608 -0.962
-0.790 3.439 6.234



Entry 3:
! LaTbNO GGA-PBE optimized geometry; values from VASP
! Volume in Å³ per cell: 148
! Calculated total energy in eV per cell: -58.38
! Total magnetization in μB per cell: 1.724
&SYSTEM
  ibrav = 0, nat = 8, ntyp = 4
/
ATOMIC_SPECIES
N 14.01 N.upf
La 138.91 La.upf
Tb 158.93 Tb.upf
O 16.00 O.upf
ATOMIC_POSITIONS crystal
N 0.750 0.750 0.345
La 0.750 0.250 0.500
N 0.250 0.250 0.655
La 0.250 0.750 0.500
Tb 0.250 0.250 0.095
Tb 0.750 0.750 0.905
O 0.250 0.750 0.000
O 0.750 0.250 0.000
CELL_PARAMETERS angstrom
4.337 0.000 0.000
0.000 4.337 0.000
0.000 0.000 7.877



Entry 4:
! LaTbNO GGA-PBE optimized geometry; values from VASP
! Volume in Å³ per cell: 299
! Calculated total energy in eV per cell: -124.39
! Total magnetization in μB per cell: 0.028
&SYSTEM
  ibrav = 0, nat = 16, ntyp = 4
/
ATOMIC_SPECIES
N 14.01 N.upf
O 16.00 O.upf
Tb 158.93 Tb.upf
La 138.91 La.upf
ATOMIC_POSITIONS crystal
N 0.550 0.059 0.362
O 0.551 0.598 0.114
Tb 0.051 0.578 0.118
La 0.550 0.920 0.631
O 0.051 0.402 0.886
La 0.550 0.420 0.369
La 0.050 0.580 0.631
N 0.550 0.559 0.638
O 0.051 0.902 0.114
N 0.050 0.941 0.638
Tb 0.551 0.922 0.118
Tb 0.551 0.422 0.882
N 0.050 0.441 0.362
O 0.551 0.098 0.886
Tb 0.051 0.078 0.882
La 0.050 0.080 0.369
CELL_PARAMETERS angstrom
-2.356 4.531 0.742
-4.309 -1.381 -5.251
-5.323 -3.640 5.324



Entry 5:
! LaTbNO GGA-PBE optimized geometry; values from VASP
! Volume in Å³ per cell: 162
! Calculated total energy in eV per cell: -59.74
! Total magnetization in μB per cell: 1.663
&SYSTEM
  ibrav = 0, nat = 8, ntyp = 4
/
ATOMIC_SPECIES
N 14.01 N.upf
Tb 158.93 Tb.upf
La 138.91 La.upf
O 16.00 O.upf
ATOMIC_POSITIONS crystal
N 0.750 0.750 0.391
Tb 0.250 0.750 0.500
La 0.750 0.750 0.879
Tb 0.750 0.250 0.500
La 0.250 0.250 0.121
O 0.750 0.250 0.000
N 0.250 0.250 0.609
O 0.250 0.750 0.000
CELL_PARAMETERS angstrom
3.058 -3.058 0.000
3.058 3.058 0.000
0.000 0.000 8.659



Entry 6:
! LaTbNO GGA-PBE optimized geometry; values from VASP
! Volume in Å³ per cell: 157
! Calculated total energy in eV per cell: -62.15
! Total magnetization in μB per cell: 1.297
&SYSTEM
  ibrav = 0, nat = 8, ntyp = 4
/
ATOMIC_SPECIES
Tb 158.93 Tb.upf
La 138.91 La.upf
N 14.01 N.upf
O 16.00 O.upf
ATOMIC_POSITIONS crystal
Tb 0.500 0.989 0.173
La 0.000 0.973 0.651
N 0.000 0.915 0.317
Tb 0.500 0.489 0.827
N 0.000 0.415 0.683
O 0.500 0.378 0.134
O 0.500 0.878 0.866
La 0.000 0.473 0.349
CELL_PARAMETERS angstrom
3.965 0.000 0.000
0.000 5.702 0.000
0.000 0.000 6.959



Entry 7:
! LaOsN3 GGA-PBE optimized geometry; values from VASP
! Volume in Å³ per cell: 138
! Calculated total energy in eV per cell: -86.25
! Total magnetization in μB per cell: 0.006
&SYSTEM
  ibrav = 0, nat = 10, ntyp = 3
/
ATOMIC_SPECIES
Os 190.23 Os.upf
N 14.01 N.upf
La 138.91 La.upf
ATOMIC_POSITIONS crystal
Os 0.250 0.500 0.196
N 0.994 0.500 0.594
N 0.494 0.500 0.406
N 0.506 0.500 0.594
Os 0.750 0.500 0.804
La 0.750 0.000 0.209
La 0.250 0.000 0.791
N 0.000 0.500 0.000
N 0.006 0.500 0.406
N 0.500 0.500 0.000
CELL_PARAMETERS angstrom
-0.556 0.543 5.620
-2.318 -2.743 0.036
5.123 -4.317 0.924



Entry 8:
! LaPrP2Os2N2 GGA-PBE optimized geometry; values from VASP
! Volume in Å³ per cell: 143
! Calculated total energy in eV per cell: -64.79
! Total magnetization in μB per cell: 0.001
&SYSTEM
  ibrav = 0, nat = 8, ntyp = 5
/
ATOMIC_SPECIES
Os 190.23 Os.upf
La 138.91 La.upf
N 14.01 N.upf
P 30.97 P.upf
Pr 140.91 Pr.upf
ATOMIC_POSITIONS crystal
Os 0.000 0.500 0.502
La 0.000 0.000 0.138
N 0.000 0.500 0.998
N 0.500 0.000 0.998
P 0.000 0.000 0.637
Os 0.500 0.000 0.502
Pr 0.500 0.500 0.859
P 0.500 0.500 0.365
CELL_PARAMETERS angstrom
4.067 0.000 0.000
0.000 4.067 0.000
0.000 0.000 8.674



Entry 9:
! La2TbP2N6 GGA-PBE optimized geometry; values from VASP
! Volume in Å³ per cell: 139
! Calculated total energy in eV per cell: -84.49
! Total magnetization in μB per cell: 0.002
&SYSTEM
  ibrav = 0, nat = 11, ntyp = 4
/
ATOMIC_SPECIES
P 30.97 P.upf
N 14.01 N.upf
La 138.91 La.upf
Tb 158.93 Tb.upf
ATOMIC_POSITIONS crystal
P 0.397 0.397 0.000
N 0.917 0.417 0.500
N 0.583 0.083 0.500
N 0.310 0.310 0.000
P 0.603 0.603 0.000
N 0.417 0.917 0.500
N 0.083 0.583 0.500
La 0.177 0.177 0.000
La 0.823 0.823 0.000
N 0.690 0.690 0.000
Tb 0.000 0.000 0.000
CELL_PARAMETERS angstrom
7.772 -2.046 6.045
4.251 0.585 9.095
-7.154 -1.590 -6.887



Entry 10:
! LaPa7N12 GGA-PBE optimized geometry; values from VASP
! Volume in Å³ per cell: 311
! Calculated total energy in eV per cell: -201.31
! Total magnetization in μB per cell: 2.001
&SYSTEM
  ibrav = 0, nat = 20, ntyp = 3
/
ATOMIC_SPECIES
N 14.01 N.upf
Pa 231.04 Pa.upf
La 138.91 La.upf
ATOMIC_POSITIONS crystal
N 0.870 0.181 0.689
N 0.819 0.311 0.130
N 0.181 0.311 0.491
N 0.491 0.181 0.311
N 0.689 0.870 0.181
N 0.130 0.819 0.311
N 0.509 0.819 0.689
Pa 0.500 0.000 0.500
Pa 0.500 0.500 0.000
N 0.819 0.689 0.509
N 0.311 0.491 0.181
Pa 0.500 0.000 0.000
N 0.311 0.130 0.819
Pa 0.000 0.500 0.500
Pa 0.000 0.500 0.000
Pa 0.500 0.500 0.500
La 0.000 0.000 0.000
Pa 0.000 0.000 0.500
N 0.689 0.509 0.819
N 0.181 0.689 0.870
CELL_PARAMETERS angstrom
-4.009 -5.935 1.830
2.457 3.303 6.140
-4.201 4.727 -3.829



Entry 11:
! La2PdN3 GGA-PBE optimized geometry; values from VASP
! Volume in Å³ per cell: 92
! Calculated total energy in eV per cell: -44.78
! Total magnetization in μB per cell: 0.122
&SYSTEM
  ibrav = 0, nat = 6, ntyp = 3
/
ATOMIC_SPECIES
Pd 106.42 Pd.upf
La 138.91 La.upf
N 14.01 N.upf
ATOMIC_POSITIONS crystal
Pd 0.000 0.000 0.000
La 0.350 0.350 0.000
La 0.650 0.650 0.000
N 0.166 0.166 0.000
N 0.834 0.834 0.000
N 0.500 0.000 0.500
CELL_PARAMETERS angstrom
-1.813 1.956 6.508
1.813 -1.956 6.508
1.813 1.956 -6.508



Entry 12:
! La3PrSe3N4 GGA-PBE optimized geometry; values from VASP
! Volume in Å³ per cell: 235
! Calculated total energy in eV per cell: -74.27
! Total magnetization in μB per cell: 2.359
&SYSTEM
  ibrav = 0, nat = 11, ntyp = 4
/
ATOMIC_SPECIES
N 14.01 N.upf
La 138.91 La.upf
Se 78.96 Se.upf
Pr 140.91 Pr.upf
ATOMIC_POSITIONS crystal
N 0.000 0.604 0.604
La 0.500 0.000 0.000
N 0.257 0.095 0.095
La 0.742 0.683 0.683
Se 0.171 0.359 0.359
N 0.743 0.095 0.095
Se 0.829 0.359 0.359
N 0.500 0.586 0.586
Pr 0.000 0.013 0.013
La 0.258 0.683 0.683
Se 0.500 0.319 0.319
CELL_PARAMETERS angstrom
8.143 0.000 0.000
0.000 2.077 6.959
0.000 -2.077 6.959